# PuMgH6Pt2 PBE optimized geometry
data_PuMgH6Pt2
_chemical_formula_sum 'Pu3 Mg3 H18 Pt6'
_cell_length_a 4.4907
_cell_length_b 4.4907
_cell_length_c 19.2545
_cell_angle_alpha 90.00
_cell_angle_beta 90.00
_cell_angle_gamma 120.00
_space_group_name_H-M_alt 'R -3'
_space_group_IT_number 148
_space_group_name_Hall '-R 3'
loop_
_atom_site_label
_atom_site_fract_x
_atom_site_fract_y
_atom_site_fract_z
_atom_site_occupancy
Pu1 0.0000 0.0000 0.0000 1
Mg1 0.0000 0.0000 0.5000 1
H1 0.0084 0.3790 0.7604 1
Pt1 0.0000 0.0000 0.2436 1
# Crystal system = trigonal
# VASP energy = -4.9509 eV/atom
# DOS(E_F) = 1.205 states/eV per atom



# Rb2MgHPt PBE optimized geometry
data_Rb2MgHPt
_chemical_formula_sum 'Rb2 Mg1 H1 Pt1'
_cell_length_a 6.727
_cell_length_b 6.727
_cell_length_c 3.504
_cell_angle_alpha 90.00
_cell_angle_beta 90.00
_cell_angle_gamma 90.00
_space_group_name_H-M_alt 'P 4/m m m'
_space_group_IT_number 123
_space_group_name_Hall '-P 4 2'
loop_
_atom_site_label
_atom_site_fract_x
_atom_site_fract_y
_atom_site_fract_z
_atom_site_occupancy
Rb1 0.000 0.500 0.000 1
Mg1 0.000 0.000 0.500 1
H1 0.500 0.500 0.500 1
Pt1 0.500 0.500 0.000 1
# Crystal system = tetragonal
# VASP energy = -2.4085 eV/atom
# DOS(E_F) = 0.471 states/eV per atom



# Mg2H6PtRh PBE optimized geometry
data_Mg2H6PtRh
_chemical_formula_sum 'Mg2 H6 Pt1 Rh1'
_cell_length_a 4.916
_cell_length_b 4.960
_cell_length_c 4.994
_cell_angle_alpha 62.40
_cell_angle_beta 60.67
_cell_angle_gamma 60.81
_space_group_name_H-M_alt 'P -1'
_space_group_IT_number 2
_space_group_name_Hall '-P 1'
loop_
_atom_site_label
_atom_site_fract_x
_atom_site_fract_y
_atom_site_fract_z
_atom_site_occupancy
Mg1 0.243 0.253 0.253 1
H1 0.211 0.298 0.705 1
H2 0.260 0.808 0.257 1
H3 0.302 0.707 0.787 1
Pt1 0.000 0.000 0.000 1
Rh1 0.500 0.500 0.500 1
# Crystal system = triclinic
# VASP energy = -3.9056 eV/atom
# DOS(E_F) = 0.070 states/eV per atom